The following is a GGA-PBE calculation of a relaxed Sm2HoErTe6 crystal, from Alexandria via LeMat-Bulk.

## Properties
Raw total energy = -5.105 eV per atom
V = 36.73 Å³/atom
Total magnetization = 0.00 μB/atom
Energy relative to the elements, uncorrected = -1362 meV/atom

a b c (Å): 7.7586 7.7586 21.1357
angles (deg): 90.00 90.00 120.00
With the nearest neighbours (Å) after each atom.
Space group R3 (No. 146, hexagonal axes)
One atom of each set of equivalent atoms:
Sm1 0.0000 0.0000 0.0000  6 Te 3.12-3.17
Sm2 0.0000 0.0000 0.4997  6 Te 3.12-3.17
Ho1 0.0000 0.0000 0.6875  6 Te 3.06-3.09
Er1 0.0000 0.0000 0.1877  6 Te 3.05-3.08
Te1 0.0279 0.6802 0.2632  1 Er 3.05, 1 Ho 3.09, 2 Sm 3.12-3.17
Te2 0.0291 0.3484 0.7637  1 Ho 3.06, 1 Er 3.08, 2 Sm 3.12-3.17


The following is a GGA-PBE calculation of a relaxed Sm3Ho3ErTe8 crystal, from Alexandria via LeMat-Bulk.

## Properties
Raw total energy = -5.217 eV per atom
V = 31.51 Å³/atom
Total magnetization = 0.00 μB/atom
Energy relative to the elements, uncorrected = -1378 meV/atom

a b c (Å): 8.7302 8.7302 21.4807
angles (deg): 90.00 90.00 120.00
With the nearest neighbours (Å) after each atom.
Space group R-3m (No. 166, hexagonal axes)
One atom of each set of equivalent atoms:
Sm1 0.0000 0.5000 0.0000  6 Te 3.13
Ho1 0.0000 0.5000 0.5000  6 Te 3.06
Er1 0.0000 0.0000 0.5000  6 Te 3.12
Te1 0.0000 0.0000 0.2471  3 Ho 3.06, 3 Sm 3.13
Te2 0.0071 0.5035 0.7511  2 Ho 3.06, 1 Er 3.12, 2 Sm 3.13


The following is a GGA-PBE calculation of a relaxed Sm2Ho5ErTh crystal, from Alexandria via LeMat-Bulk.

## Properties
Raw total energy = -4.759 eV per atom
V = 32.99 Å³/atom
Total magnetization = 0.00 μB/atom
Calculated formation energy = 164 meV/atom

a b c (Å): 5.6839 21.4657 9.7342
angles (deg): 90.00 90.00 90.00
With the nearest neighbours (Å) after each atom.
Space group Cmc2_1 (No. 36)
One atom of each set of equivalent atoms:
Sm1 0.0000 0.1143 0.0000  9 Ho 3.33-3.70, 1 Er 3.43
Sm2 0.0000 0.1308 0.6155  1 Er 3.25, 2 Ho 3.34, 2 Th 3.61
Ho1 0.0000 0.0147 0.3097  3 Sm 3.33-3.70, 2 Th 3.45, 2 Ho 3.61
Ho2 0.0000 0.2696 0.9970  1 Th 3.03, 1 Sm 3.33
Ho3 0.0000 0.3056 0.6079  4 Ho 3.44-3.70, 3 Er 3.45-3.80, 3 Sm 3.48-3.75, 1 Th 3.55
Ho4 0.0000 0.3963 0.2850  3 Ho 3.31-3.70, 4 Sm 3.34-3.54
Ho5 0.0000 0.4703 0.5837  2 Th 3.23-3.40, 5 Ho 3.31-3.61, 2 Sm 3.47
Er1 0.0000 0.1914 0.3090  2 Sm 3.25-3.43, 5 Ho 3.45-3.48, 2 Th 3.61
Th1 0.0000 0.4040 0.9005  3 Ho 3.03-3.40


The following is a GGA-PBE calculation of a relaxed SmHo5Er2Th crystal, from Alexandria via LeMat-Bulk.

## Properties
Raw total energy = -4.741 eV per atom
V = 32.66 Å³/atom
Total magnetization = 0.00 μB/atom
Calculated formation energy = 165 meV/atom

a b c (Å): 5.6811 21.3760 9.6807
angles (deg): 90.00 90.00 90.00
With the nearest neighbours (Å) after each atom.
Space group Cmc2_1 (No. 36)
One atom of each set of equivalent atoms:
Sm1 0.0000 0.1903 0.0000  2 Er 3.24-3.42, 5 Ho 3.42-3.51
Ho1 0.0000 0.0141 0.0009  2 Er 3.32-3.58, 2 Th 3.44, 2 Ho 3.58
Ho2 0.0000 0.2724 0.3041  1 Th 3.03, 1 Er 3.35
Ho3 0.0000 0.3049 0.6963  3 Sm 3.42-3.83, 4 Ho 3.45-3.74, 3 Er 3.49-3.77, 1 Th 3.59
Ho4 0.0000 0.3991 0.0223  2 Ho 3.26-3.43, 4 Er 3.34-3.50
Ho5 0.0000 0.4682 0.7218  2 Th 3.19-3.36, 3 Ho 3.26-3.50, 2 Er 3.48
Er1 0.0000 0.1159 0.3130  8 Ho 3.32-3.50, 1 Sm 3.42, 1 Er 3.70
Er2 0.0000 0.1287 0.6938  1 Sm 3.24, 3 Ho 3.34-3.58, 2 Th 3.57
Th1 0.0000 0.4070 0.4024  3 Ho 3.03-3.36


The following is a GGA-PBE calculation of a relaxed SmHo2ErTh crystal, from Alexandria via LeMat-Bulk.

## Properties
Raw total energy = -4.839 eV per atom
V = 34.23 Å³/atom
Total magnetization = 0.00 μB/atom
Calculated formation energy = 333 meV/atom

a b c (Å): 3.5298 5.6060 8.6497
angles (deg): 90.00 90.06 90.00
With the nearest neighbours (Å) after each atom.
Space group P2/m (No. 10)
One atom of each set of equivalent atoms:
Sm1 0.0000 0.0000 0.0000  4 Th 3.31, 2 Sm 3.53
Ho1 0.0008 0.5000 0.3214  1 Ho 3.09, 2 Th 3.29
Er1 0.5000 0.0000 0.5000  2 Er 3.53, 8 Ho 3.65-3.66
Th1 0.5000 0.5000 0.0000  4 Ho 3.29, 4 Sm 3.31, 2 Th 3.53


The following is a GGA-PBE calculation of a relaxed Sm3HoEr6Th2 crystal, from Alexandria via LeMat-Bulk.

## Properties
Raw total energy = -5.061 eV per atom
V = 31.56 Å³/atom
Total magnetization = 0.00 μB/atom
Calculated formation energy = 19 meV/atom

a b c (Å): 6.1615 10.6668 11.7062
angles (deg): 90.00 100.12 90.00
With the nearest neighbours (Å) after each atom.
Space group C2/m (No. 12)
One atom of each set of equivalent atoms:
Sm1 0.0000 0.0000 0.0000  6 Sm 3.55-3.56, 6 Er 3.56-3.58
Sm2 0.0000 0.3337 0.0000  6 Sm 3.55-3.56, 6 Er 3.56-3.58
Ho1 0.0000 0.5000 0.5000  6 Er 3.51-3.52, 6 Th 3.56
Er1 0.2450 0.0000 0.7465  2 Th 3.50, 1 Ho 3.52, 6 Er 3.54-3.60, 3 Sm 3.56-3.58
Er2 0.2494 0.1685 0.2540  2 Th 3.49, 1 Ho 3.51, 6 Er 3.54-3.60, 3 Sm 3.56-3.58
Th1 0.0000 0.1666 0.5000  6 Er 3.49-3.50, 3 Th 3.55-3.56, 3 Ho 3.56